Arrangement A

A geometry-optimized RbAgSnS3 structure, computed with GGA-PBE.

It has space group P2_1/m (No. 11), with a = 8.545 Å, b = 3.983 Å, c = 9.803 Å, α = 90.00°, β = 109.40° and γ = 90.00°. The distinct sites, in fractional coordinates, are Rb at (0.244, 0.250, 0.207), Ag at (0.454, 0.250, 0.900), Sn at (0.176, 0.750, 0.643), S at (0.044, 0.750, 0.368), S at (0.243, 0.750, 0.916) and S at (0.374, 0.250, 0.629).

Arrangement B

A geometry-optimized RbAgSnS3 structure, computed with GGA-PBE.

It has space group Pnma (No. 62), with a = 12.223 Å, b = 3.756 Å, c = 14.205 Å, α = 90.00°, β = 90.00° and γ = 90.00°. The distinct sites, in fractional coordinates, are Rb at (0.207, 0.250, 0.015), Ag at (0.229, 0.250, 0.742), Sn at (0.014, 0.250, 0.280), S at (0.022, 0.750, 0.153), S at (0.083, 0.250, 0.623) and S at (0.197, 0.250, 0.344).

Arrangement C

A geometry-optimized RbAgSnS3 structure, computed with GGA-PBE.

It has space group Pnma (No. 62), with a = 10.012 Å, b = 4.250 Å, c = 14.836 Å, α = 90.00°, β = 90.00° and γ = 90.00°. The distinct sites, in fractional coordinates, are Rb at (0.026, 0.250, 0.193), Ag at (0.149, 0.250, 0.653), Sn at (0.234, 0.750, 0.464), S at (0.068, 0.750, 0.583), S at (0.134, 0.750, 0.009) and S at (0.227, 0.750, 0.304).

So which one wins? Going from most stable to least: arrangement A, arrangement B, arrangement C.

Arrangement A

A geometry-optimized RbAgSnS3 structure, computed with GGA-PBE.

It has space group Pnma (No. 62), with a = 13.265 Å, b = 4.094 Å, c = 11.189 Å, α = 90.00°, β = 90.00° and γ = 90.00°. The distinct sites, in fractional coordinates, are Rb at (0.152, 0.250, 0.009), Ag at (0.222, 0.750, 0.246), Sn at (0.028, 0.750, 0.646), S at (0.040, 0.750, 0.224), S at (0.111, 0.250, 0.511) and S at (0.180, 0.750, 0.774).

Arrangement B

A geometry-optimized RbAgSnS3 structure, computed with GGA-PBE.

It has space group Pnma (No. 62), with a = 13.805 Å, b = 4.015 Å, c = 11.078 Å, α = 90.00°, β = 90.00° and γ = 90.00°. The distinct sites, in fractional coordinates, are Rb at (0.150, 0.250, 0.007), Ag at (0.213, 0.750, 0.251), Sn at (0.034, 0.750, 0.645), S at (0.037, 0.750, 0.224), S at (0.107, 0.250, 0.506) and S at (0.184, 0.750, 0.771).

Arrangement C

A geometry-optimized RbAgSnS3 structure, computed with GGA-PBE.

It has space group Cmcm (No. 63), with a = 3.894 Å, b = 14.991 Å, c = 10.589 Å, α = 90.00°, β = 90.00° and γ = 90.00°. The distinct sites, in fractional coordinates, are Rb at (0.000, 0.233, 0.250), Ag at (0.000, 0.066, 0.750), Sn at (0.000, 0.500, 0.000), S at (0.000, 0.118, 0.528) and S at (0.000, 0.449, 0.750).

So which one wins? Going from most stable to least: arrangement B, arrangement A, arrangement C.

Arrangement A

A geometry-optimized RbScAg structure, computed with GGA-PBE.

It has space group F-43m (No. 216), with a = 7.468 Å, b = 7.468 Å, c = 7.468 Å, α = 90.00°, β = 90.00° and γ = 90.00°. The distinct sites, in fractional coordinates, are Rb at (0.000, 0.000, 0.000), Sc at (0.250, 0.250, 0.250) and Ag at (0.250, 0.250, 0.750).

Arrangement B

A geometry-optimized RbScAg structure, computed with GGA-PBE.

It has space group F-43m (No. 216), with a = 7.502 Å, b = 7.502 Å, c = 7.502 Å, α = 90.00°, β = 90.00° and γ = 90.00°. The distinct sites, in fractional coordinates, are Rb at (0.000, 0.000, 0.000), Sc at (0.000, 0.000, 0.500) and Ag at (0.250, 0.250, 0.250).

So which one wins? Going from most stable to least: arrangement B, arrangement A.